1.
A relaxed structure of Lu2IrS. Source: Alexandria via LeMat-Bulk, functional PBE-GGA.

```
12
Lattice="3.7843 0.0000 0.0000 -1.8922 3.2773 0.0000 0.0000 0.0000 20.6725" Properties=species:S:1:pos:R:3 pbc="T T T"
Lu 0.0000 0.0000 5.1095
Lu 0.0000 0.0000 15.5630
Lu 0.0000 2.1849 8.6722
Lu 0.0000 2.1849 18.8911
Lu 1.8922 1.0924 1.7814
Lu 1.8922 1.0924 12.0003
Ir 0.0000 0.0000 10.3362
Ir 0.0000 2.1849 3.4454
Ir 1.8922 1.0924 17.2271
S 0.0000 0.0000 0.0000
S 0.0000 2.1849 13.7817
S 1.8922 1.0924 6.8908
```

formation energy without anion corrections: -1.294 eV per atom
final energy: -6.801 eV per atom
space group: No. 166


2.
A relaxed structure of LuSb2Ir. Source: Alexandria via LeMat-Bulk, functional PBE-GGA.

```
12
Lattice="3.5940 0.0000 0.0000 -1.7970 3.1125 0.0000 0.0000 0.0000 28.5978" Properties=species:S:1:pos:R:3 pbc="T T T"
Lu 0.0000 0.0000 0.0000
Lu 0.0000 2.0750 19.0652
Lu 1.7970 1.0375 9.5326
Sb 0.0000 0.0000 3.0631
Sb 0.0000 0.0000 25.5347
Sb 0.0000 2.0750 16.0021
Sb 0.0000 2.0750 22.1283
Sb 1.7970 1.0375 6.4695
Sb 1.7970 1.0375 12.5957
Ir 0.0000 0.0000 14.2989
Ir 0.0000 2.0750 4.7663
Ir 1.7970 1.0375 23.8315
```

formation energy without anion corrections: -0.022 eV per atom
final energy: -5.428 eV per atom
space group: No. 166


3.
A relaxed structure of LuScIr. Source: Alexandria via LeMat-Bulk, functional PBE-GGA.

```
12
Lattice="6.5232 0.0000 0.0000 0.0000 6.5232 0.0000 0.0000 0.0000 6.5232" Properties=species:S:1:pos:R:3 pbc="T T T"
Lu 0.0000 0.0000 0.0000
Lu 0.0000 3.2616 3.2616
Lu 3.2616 0.0000 3.2616
Lu 3.2616 3.2616 0.0000
Sc 0.0000 0.0000 3.2616
Sc 0.0000 3.2616 0.0000
Sc 3.2616 0.0000 0.0000
Sc 3.2616 3.2616 3.2616
Ir 1.6308 1.6308 1.6308
Ir 1.6308 4.8924 4.8924
Ir 4.8924 1.6308 4.8924
Ir 4.8924 4.8924 1.6308
```

E_form: -747 meV/atom
final energy: -7.319 eV per atom
space group: No. 216


4.
A relaxed structure of LuScIr. Source: Alexandria via LeMat-Bulk, functional PBE-GGA.

```
6
Lattice="3.2388 0.0000 0.0000 0.0000 3.2388 0.0000 0.0000 0.0000 12.4340" Properties=species:S:1:pos:R:3 pbc="T T T"
Lu 0.0000 0.0000 0.0000
Lu 1.6194 1.6194 6.2170
Sc 0.0000 0.0000 9.0954
Sc 1.6194 1.6194 2.8784
Ir 0.0000 0.0000 4.4577
Ir 1.6194 1.6194 10.6747
```

E_form: -657 meV/atom
final energy: -7.228 eV per atom
space group: No. 107